Computed, not measured: a relaxed structure of CuRu2Pt at the PBE level of DFT.

Properties
energy relative to the lowest polymorph listed for this composition	10	meV/atom
DFT formation energy	0.04	eV/atom
electronic total energy	-7.130	eV/atom
crystal system	orthorhombic
volume	55.95	Å³/cell

abc: 2.740 3.763 5.426
angles: 90.00 90.00 90.00
Sites, in units of the cell vectors:
1 Cu 0.000 0.000 0.000
2 Ru 0.000 0.000 0.520
3 Ru 0.500 0.500 0.741
4 Pt 0.500 0.500 0.238


Computed, not measured: a relaxed structure of Cu4RuPt5 at the PBE level of DFT.

Properties
DFT formation energy	-0.11	eV/atom
electronic total energy	-5.696	eV/atom
crystal system	tetragonal
volume	141.08	Å³/cell

abc: 2.766 2.766 18.433
angles: 90.00 90.00 90.00
Sites, in units of the cell vectors:
1 Cu 0.000 0.000 0.099
2 Cu 0.000 0.000 0.296
3 Cu 0.000 0.000 0.704
4 Cu 0.000 0.000 0.901
5 Ru 0.000 0.000 0.500
6 Pt 0.500 0.500 0.000
7 Pt 0.500 0.500 0.197
8 Pt 0.500 0.500 0.398
9 Pt 0.500 0.500 0.602
10 Pt 0.500 0.500 0.803


Computed, not measured: a relaxed structure of CuRu2Pt at the PBE level of DFT.

Properties
energy relative to the lowest polymorph listed for this composition	235	meV/atom
DFT formation energy	0.27	eV/atom
electronic total energy	-6.905	eV/atom
crystal system	orthorhombic
volume	115.54	Å³/cell

abc: 2.743 4.609 9.140
angles: 90.00 90.00 90.00
Sites, in units of the cell vectors:
1 Cu 0.000 0.000 0.000
2 Cu 0.500 0.500 0.000
3 Ru 0.000 0.000 0.486
4 Ru 0.000 0.500 0.245
5 Ru 0.500 0.000 0.245
6 Ru 0.500 0.500 0.486
7 Pt 0.000 0.500 0.754
8 Pt 0.500 0.000 0.754


Computed, not measured: a relaxed structure of CuRu2Pt at the PBE level of DFT.

Properties
energy relative to the lowest polymorph listed for this composition	80	meV/atom
DFT formation energy	0.11	eV/atom
electronic total energy	-7.061	eV/atom
crystal system	tetragonal
volume	111.70	Å³/cell

abc: 3.806 3.806 7.711
angles: 90.00 90.00 90.00
Sites, in units of the cell vectors:
1 Cu 0.000 0.000 0.000
2 Cu 0.500 0.500 0.500
3 Ru 0.000 0.000 0.500
4 Ru 0.000 0.500 0.750
5 Ru 0.500 0.000 0.250
6 Ru 0.500 0.500 0.000
7 Pt 0.000 0.500 0.250
8 Pt 0.500 0.000 0.750


Computed, not measured: a relaxed structure of CuRuPt at the PBE level of DFT.

Properties
energy relative to the lowest polymorph listed for this composition	14	meV/atom
DFT formation energy	0.11	eV/atom
electronic total energy	-6.363	eV/atom
crystal system	orthorhombic
volume	83.86	Å³/cell

abc: 2.722 3.820 8.063
angles: 90.00 90.00 90.00
Sites, in units of the cell vectors:
1 Cu 0.000 0.000 0.000
2 Cu 0.500 0.500 0.500
3 Ru 0.000 0.000 0.336
4 Ru 0.500 0.500 0.836
5 Pt 0.000 0.000 0.668
6 Pt 0.500 0.500 0.168


Computed, not measured: a relaxed structure of Cu2RuPt at the PBE level of DFT.

Properties
energy relative to the lowest polymorph listed for this composition	115	meV/atom
DFT formation energy	0.16	eV/atom
electronic total energy	-5.714	eV/atom
crystal system	orthorhombic
volume	55.54	Å³/cell

abc: 2.678 4.488 4.621
angles: 90.00 90.00 90.00
Sites, in units of the cell vectors:
1 Cu 0.000 0.000 0.000
2 Cu 0.500 0.000 0.500
3 Ru 0.000 0.500 0.500
4 Pt 0.500 0.500 0.000


Computed, not measured: a relaxed structure of CuRuPt at the PBE level of DFT.

Properties
energy relative to the lowest polymorph listed for this composition	443	meV/atom
DFT formation energy	0.54	eV/atom
electronic total energy	-5.935	eV/atom
crystal system	cubic
volume	202.98	Å³/cell

abc: 5.877 5.877 5.877
angles: 90.00 90.00 90.00
Sites, in units of the cell vectors:
1 Cu 0.000 0.000 0.000
2 Cu 0.000 0.500 0.500
3 Cu 0.500 0.000 0.500
4 Cu 0.500 0.500 0.000
5 Ru 0.000 0.000 0.500
6 Ru 0.000 0.500 0.000
7 Ru 0.500 0.000 0.000
8 Ru 0.500 0.500 0.500
9 Pt 0.250 0.250 0.250
10 Pt 0.250 0.750 0.750
11 Pt 0.750 0.250 0.750
12 Pt 0.750 0.750 0.250


Computed, not measured: a relaxed structure of Cu2RuPt at the PBE level of DFT.

Properties
energy relative to the lowest polymorph listed for this composition	12	meV/atom
DFT formation energy	0.06	eV/atom
electronic total energy	-5.817	eV/atom
crystal system	tetragonal
volume	53.99	Å³/cell

abc: 2.718 2.718 7.307
angles: 90.00 90.00 90.00
Sites, in units of the cell vectors:
1 Cu 0.000 0.000 0.000
2 Cu 0.500 0.500 0.227
3 Ru 0.500 0.500 0.749
4 Pt 0.000 0.000 0.488


Computed, not measured: a relaxed structure of Cu2RuPt4 at the PBE level of DFT.

Properties
energy relative to the lowest polymorph listed for this composition	0	meV/atom
DFT formation energy	0.07	eV/atom
electronic total energy	-5.875	eV/atom
crystal system	orthorhombic
volume	213.55	Å³/cell

abc: 2.740 20.152 3.867
angles: 90.00 90.00 90.00
Sites, in units of the cell vectors:
1 Cu 0.000 0.200 0.000
2 Cu 0.000 0.800 0.000
3 Cu 0.500 0.300 0.000
4 Cu 0.500 0.700 0.000
5 Ru 0.000 0.500 0.500
6 Ru 0.500 0.000 0.500
7 Pt 0.000 0.068 0.000
8 Pt 0.000 0.357 0.500
9 Pt 0.000 0.643 0.500
10 Pt 0.000 0.932 0.000
11 Pt 0.500 0.143 0.500
12 Pt 0.500 0.432 0.000
13 Pt 0.500 0.568 0.000
14 Pt 0.500 0.857 0.500


Computed, not measured: a relaxed structure of Cu2RuPt at the PBE level of DFT.

Properties
energy relative to the lowest polymorph listed for this composition	11	meV/atom
DFT formation energy	0.06	eV/atom
electronic total energy	-5.817	eV/atom
crystal system	monoclinic
volume	108.91	Å³/cell

abc: 8.739 2.658 4.751
angles: 90.00 99.35 90.00
Sites, in units of the cell vectors:
1 Cu 0.249 0.000 0.243
2 Cu 0.251 0.500 0.757
3 Cu 0.749 0.500 0.243
4 Cu 0.751 0.000 0.757
5 Ru 0.000 0.500 0.000
6 Ru 0.500 0.000 0.000
7 Pt 0.000 0.000 0.500
8 Pt 0.500 0.500 0.500


Computed, not measured: a relaxed structure of CuRuPt at the PBE level of DFT.

Properties
energy relative to the lowest polymorph listed for this composition	0	meV/atom
DFT formation energy	0.09	eV/atom
electronic total energy	-6.377	eV/atom
crystal system	trigonal
volume	42.17	Å³/cell

abc: 2.722 2.722 6.572
angles: 90.00 90.00 120.00
Sites, in units of the cell vectors:
1 Cu 0.000 0.000 0.000
2 Ru 0.667 0.333 0.676
3 Pt 0.333 0.667 0.334


Computed, not measured: a relaxed structure of Cu2RuPt at the PBE level of DFT.

Properties
energy relative to the lowest polymorph listed for this composition	22	meV/atom
DFT formation energy	0.07	eV/atom
electronic total energy	-5.806	eV/atom
crystal system	trigonal
volume	163.22	Å³/cell

abc: 2.696 2.696 25.927
angles: 90.00 90.00 120.00
Sites, in units of the cell vectors:
1 Cu 0.000 0.000 0.000
2 Cu 0.000 0.000 0.256
3 Cu 0.333 0.667 0.667
4 Cu 0.333 0.667 0.923
5 Cu 0.667 0.333 0.333
6 Cu 0.667 0.333 0.589
7 Ru 0.000 0.000 0.749
8 Ru 0.333 0.667 0.416
9 Ru 0.667 0.333 0.083
10 Pt 0.000 0.000 0.504
11 Pt 0.333 0.667 0.171
12 Pt 0.667 0.333 0.838